Below is an optimized crystal structure of AcAsH2Pd2, with properties calculated at the GGA-PBE level.

```
AcAsH2Pd2
1.0
-1.393 -1.302 5.352
-4.753 -3.075 -1.986
4.508 -4.222 0.146
H Ac Pd As
4 2 4 2
Direct
0.250 0.246 0.389 H
0.250 0.627 0.725 H
0.750 0.373 0.275 H
0.750 0.754 0.611 H
0.250 0.692 0.296 Ac
0.750 0.308 0.704 Ac
0.001 0.817 0.793 Pd
0.999 0.183 0.207 Pd
0.501 0.183 0.207 Pd
0.499 0.817 0.793 Pd
0.250 0.187 0.864 As
0.750 0.813 0.136 As
```

Values from the calculation:
Uncorrected energy   -4.8584 eV per atom
Symmetry   P2_1/m, No. 11

Below is an optimized crystal structure of AcAsHPd, with properties calculated at the GGA-PBE level.

```
AcAsHPd
1.0
-2.509 -2.975 2.343
2.788 -1.463 -3.275
3.056 -0.391 2.776
H Ac As Pd
1 1 1 1
Direct
0.239 0.477 0.284 H
0.572 0.144 0.318 Ac
0.905 0.810 0.800 As
0.239 0.477 0.838 Pd
```

Values from the calculation:
Uncorrected energy   -5.2517 eV per atom
Symmetry   P3m1, No. 156